First-principles (PBE-GGA) data for CeCrAs2Rh5 after structural relaxation, as listed in Alexandria via LeMat-Bulk. Values from VASP.

Computed properties:
DFT total energy	-64.78	eV per cell
size of the total moment	1.62	μB per cell
space-group type	No. 123
V	18.61	A^3/atom
DFT formation energy	-352	meV per atom

Quantum ESPRESSO input file:
```
&SYSTEM
  ibrav = 0, nat = 9, ntyp = 4
/
ATOMIC_SPECIES
Ce 140.12 Ce.upf
Cr 52.00 Cr.upf
As 74.92 As.upf
Rh 102.91 Rh.upf
ATOMIC_POSITIONS crystal
Ce 0.0000 0.0000 0.5000
Cr 0.0000 0.0000 0.0000
As 0.5000 0.5000 0.2735
As 0.5000 0.5000 0.7265
Rh 0.0000 0.5000 0.1414
Rh 0.5000 0.0000 0.1414
Rh 0.0000 0.5000 0.8586
Rh 0.5000 0.0000 0.8586
Rh 0.5000 0.5000 0.5000
CELL_PARAMETERS angstrom
3.9669 0.0000 0.0000
0.0000 3.9669 0.0000
0.0000 0.0000 10.6423
```

First-principles (PBE-GGA) data for Sr3Al2Zn2 after structural relaxation, as listed in Alexandria via LeMat-Bulk. Values from VASP.

Computed properties:
DFT total energy	-65.74	eV per cell
size of the total moment	0.00	μB per cell
space-group type	No. 57
V	28.52	A^3/atom
DFT formation energy	-194	meV per atom

Quantum ESPRESSO input file:
```
&SYSTEM
  ibrav = 0, nat = 28, ntyp = 3
/
ATOMIC_SPECIES
Sr 87.62 Sr.upf
Al 26.98 Al.upf
Zn 65.41 Zn.upf
ATOMIC_POSITIONS crystal
Sr 0.1278 0.6126 0.1028
Sr 0.8722 0.3874 0.6028
Sr 0.8722 0.1126 0.3972
Sr 0.1278 0.8874 0.8972
Sr 0.8722 0.3874 0.8972
Sr 0.1278 0.6126 0.3972
Sr 0.1278 0.8874 0.6028
Sr 0.8722 0.1126 0.1028
Sr 0.3482 0.2572 0.2500
Sr 0.6518 0.7428 0.7500
Sr 0.6518 0.7572 0.2500
Sr 0.3482 0.2428 0.7500
Al 0.3808 0.2500 0.0000
Al 0.6192 0.7500 0.5000
Al 0.6192 0.7500 0.0000
Al 0.3808 0.2500 0.5000
Al 0.8283 0.4054 0.2500
Al 0.1717 0.5946 0.7500
Al 0.1717 0.9054 0.2500
Al 0.8283 0.0946 0.7500
Zn 0.6200 0.4655 0.0901
Zn 0.3800 0.5345 0.5901
Zn 0.3800 0.9655 0.4099
Zn 0.6200 0.0345 0.9099
Zn 0.3800 0.5345 0.9099
Zn 0.6200 0.4655 0.4099
Zn 0.6200 0.0345 0.5901
Zn 0.3800 0.9655 0.0901
CELL_PARAMETERS angstrom
6.2714 0.0000 0.0000
0.0000 8.7201 0.0000
0.0000 0.0000 14.6026
```

First-principles (PBE-GGA) data for GePbS3 after structural relaxation, as listed in Alexandria via LeMat-Bulk. Values from VASP.

Computed properties:
excess energy over the best structure of this formula in the dataset	1.087	eV/atom
DFT total energy	-17.47	eV per cell
size of the total moment	0.00	μB per cell
space-group type	No. 221
V	26.95	A^3/atom

Quantum ESPRESSO input file:
```
&SYSTEM
  ibrav = 0, nat = 5, ntyp = 3
/
ATOMIC_SPECIES
Pb 207.20 Pb.upf
Ge 72.64 Ge.upf
S 32.06 S.upf
ATOMIC_POSITIONS crystal
Pb 0.0000 0.0000 0.0000
Ge 0.5000 0.5000 0.5000
S 0.0000 0.5000 0.0000
S 0.0000 0.0000 0.5000
S 0.5000 0.0000 0.0000
CELL_PARAMETERS angstrom
5.1267 0.0000 0.0000
0.0000 5.1267 0.0000
0.0000 0.0000 5.1267
```

First-principles (PBE-GGA) data for CsK2PuO4 after structural relaxation, as listed in Alexandria via LeMat-Bulk. Values from VASP.

Computed properties:
DFT total energy	-107.07	eV per cell
size of the total moment	6.00	μB per cell
space-group type	No. 74
V	20.31	A^3/atom

Quantum ESPRESSO input file:
```
&SYSTEM
  ibrav = 0, nat = 16, ntyp = 4
/
ATOMIC_SPECIES
Cs 132.91 Cs.upf
K 39.10 K.upf
Pu 244.00 Pu.upf
O 16.00 O.upf
ATOMIC_POSITIONS crystal
Cs 0.0000 0.5000 0.0000
Cs 0.0000 0.5000 0.5000
K 0.5000 0.0000 0.0000
K 0.5000 0.0000 0.5000
K 0.0000 0.0000 0.5000
K 0.5000 0.5000 0.0000
Pu 0.5000 0.5000 0.5000
Pu 0.0000 0.0000 0.0000
O 0.1784 0.8567 0.0175
O 0.6433 0.3216 0.4825
O 0.3567 0.6784 0.5175
O 0.8216 0.1433 0.9825
O 0.7538 0.7462 0.9534
O 0.7538 0.7462 0.5466
O 0.2462 0.2538 0.4534
O 0.2462 0.2538 0.0466
CELL_PARAMETERS angstrom
7.9741 -0.6898 -0.1173
-0.6953 7.9736 -0.1173
-3.6451 -3.6476 5.2674
```

First-principles (PBE-GGA) data for CuAg3O3 after structural relaxation, as listed in Alexandria via LeMat-Bulk. Values from VASP.

Computed properties:
DFT total energy	-56.54	eV per cell
size of the total moment	0.00	μB per cell
space-group type	No. 11
V	13.94	A^3/atom

Quantum ESPRESSO input file:
```
&SYSTEM
  ibrav = 0, nat = 14, ntyp = 3
/
ATOMIC_SPECIES
Cu 63.55 Cu.upf
Ag 107.87 Ag.upf
O 16.00 O.upf
ATOMIC_POSITIONS crystal
Cu 0.7500 0.4257 0.6508
Cu 0.2500 0.5743 0.3492
Ag 0.2500 0.7514 0.8922
Ag 0.2500 0.1698 0.3896
Ag 0.2500 0.2592 0.7962
Ag 0.7500 0.2486 0.1078
Ag 0.7500 0.8302 0.6104
Ag 0.7500 0.7408 0.2038
O 0.7500 0.7234 0.8798
O 0.7500 0.1866 0.3785
O 0.7500 0.2478 0.8066
O 0.2500 0.2766 0.1202
O 0.2500 0.8134 0.6215
O 0.2500 0.7522 0.1934
CELL_PARAMETERS angstrom
-1.0547 2.8666 3.2650
1.7766 -4.5980 4.6108
5.0685 4.8228 -2.5969
```

First-principles (PBE-GGA) data for Ba2GaCuNi after structural relaxation, as listed in Alexandria via LeMat-Bulk. Values from VASP.

Computed properties:
DFT total energy	-16.80	eV per cell
size of the total moment	0.00	μB per cell
space-group type	No. 123
V	31.96	A^3/atom
DFT formation energy	-11	meV per atom

Quantum ESPRESSO input file:
```
&SYSTEM
  ibrav = 0, nat = 5, ntyp = 4
/
ATOMIC_SPECIES
Ni 58.69 Ni.upf
Cu 63.55 Cu.upf
Ba 137.33 Ba.upf
Ga 69.72 Ga.upf
ATOMIC_POSITIONS crystal
Ni 0.0000 0.0000 0.0000
Cu 0.5000 0.5000 0.5000
Ba 0.0000 0.5000 0.0000
Ba 0.5000 0.0000 0.0000
Ga 0.0000 0.0000 0.5000
CELL_PARAMETERS angstrom
-0.5989 5.8204 -0.8003
-5.8739 -0.5767 0.2014
0.0934 0.6335 4.5374
```

First-principles (PBE-GGA) data for NaLa6OsI12 after structural relaxation, as listed in Alexandria via LeMat-Bulk. Values from VASP.

Computed properties:
DFT total energy	-87.83	eV per cell
size of the total moment	3.08	μB per cell
space-group type	No. 148
V	44.09	A^3/atom

Quantum ESPRESSO input file:
```
&SYSTEM
  ibrav = 0, nat = 20, ntyp = 4
/
ATOMIC_SPECIES
Na 22.99 Na.upf
La 138.91 La.upf
Os 190.23 Os.upf
I 126.90 I.upf
ATOMIC_POSITIONS crystal
Na 0.0000 0.0000 0.0000
La 0.4703 0.3950 0.1923
La 0.6050 0.8077 0.5297
La 0.1923 0.4703 0.3950
La 0.3950 0.1923 0.4703
La 0.5297 0.6050 0.8077
La 0.8077 0.5297 0.6050
Os 0.5000 0.5000 0.5000
I 0.1235 0.3481 0.0422
I 0.9578 0.8765 0.6519
I 0.7244 0.1824 0.5750
I 0.6519 0.9578 0.8765
I 0.0422 0.1235 0.3481
I 0.1824 0.5750 0.7244
I 0.8765 0.6519 0.9578
I 0.2756 0.8176 0.4250
I 0.3481 0.0422 0.1235
I 0.4250 0.2756 0.8176
I 0.8176 0.4250 0.2756
I 0.5750 0.7244 0.1824
CELL_PARAMETERS angstrom
-5.2102 0.1522 -8.7700
7.0997 -7.2765 -0.8543
-6.4852 -2.9776 7.2909
```

First-principles (PBE-GGA) data for ScCuGeS4 after structural relaxation, as listed in Alexandria via LeMat-Bulk. Values from VASP.

Computed properties:
DFT total energy	-73.75	eV per cell
size of the total moment	0.00	μB per cell
space-group type	No. 74
V	19.93	A^3/atom

Quantum ESPRESSO input file:
```
&SYSTEM
  ibrav = 0, nat = 14, ntyp = 4
/
ATOMIC_SPECIES
Sc 44.96 Sc.upf
Cu 63.55 Cu.upf
Ge 72.64 Ge.upf
S 32.06 S.upf
ATOMIC_POSITIONS crystal
Sc 0.0000 0.0000 0.0000
Sc 0.0000 0.5000 0.5000
Cu 0.5000 0.0000 0.5000
Cu 0.0000 0.0000 0.5000
Ge 0.6517 0.5983 0.0983
Ge 0.3483 0.4017 0.9017
S 0.7573 0.7782 0.7072
S 0.2427 0.7928 0.7218
S 0.7573 0.2072 0.2782
S 0.2427 0.2218 0.2928
S 0.2634 0.7398 0.2398
S 0.7570 0.7398 0.2398
S 0.2430 0.2602 0.7602
S 0.7366 0.2602 0.7602
CELL_PARAMETERS angstrom
7.1084 0.0000 0.0000
3.5542 6.4880 0.2032
3.5542 2.1701 6.1177
```

First-principles (PBE-GGA) data for Ce2PrZr after structural relaxation, as listed in Alexandria via LeMat-Bulk. Values from VASP.

Computed properties:
excess energy over the best structure of this formula in the dataset	0.176	eV/atom
DFT total energy	-23.96	eV per cell
size of the total moment	1.47	μB per cell
space-group type	No. 225
V	28.89	A^3/atom
DFT formation energy	310	meV per atom

Quantum ESPRESSO input file:
```
&SYSTEM
  ibrav = 0, nat = 4, ntyp = 3
/
ATOMIC_SPECIES
Pr 140.91 Pr.upf
Zr 91.22 Zr.upf
Ce 140.12 Ce.upf
ATOMIC_POSITIONS crystal
Pr 0.0000 0.0000 0.0000
Zr 0.5000 0.5000 0.5000
Ce 0.2500 0.2500 0.2500
Ce 0.7500 0.7500 0.7500
CELL_PARAMETERS angstrom
-0.4480 -4.5591 -2.9836
-0.6232 -4.8354 2.4736
-4.7899 -2.6197 -0.2864
```

First-principles (PBE-GGA) data for Pr2Ho3Tm2 after structural relaxation, as listed in Alexandria via LeMat-Bulk. Values from VASP.

Computed properties:
excess energy over the best structure of this formula in the dataset	0.000	eV/atom
DFT total energy	-32.08	eV per cell
size of the total moment	0.00	μB per cell
space-group type	No. 2
V	32.07	A^3/atom
DFT formation energy	22	meV per atom

Quantum ESPRESSO input file:
```
&SYSTEM
  ibrav = 0, nat = 7, ntyp = 3
/
ATOMIC_SPECIES
Pr 140.91 Pr.upf
Ho 164.93 Ho.upf
Tm 168.93 Tm.upf
ATOMIC_POSITIONS crystal
Pr 0.9314 0.7171 0.1455
Pr 0.0686 0.2829 0.8545
Ho 0.5000 0.0000 0.0000
Ho 0.2114 0.8526 0.5703
Ho 0.7886 0.1474 0.4297
Tm 0.6417 0.5726 0.7109
Tm 0.3583 0.4274 0.2891
CELL_PARAMETERS angstrom
3.4788 -0.0018 -0.7830
-2.3996 7.1701 -2.5557
0.2639 -0.9627 9.3574
```

First-principles (PBE-GGA) data for Cs3U2Se5 after structural relaxation, as listed in Alexandria via LeMat-Bulk. Values from VASP.

Computed properties:
DFT total energy	-108.57	eV per cell
size of the total moment	9.93	μB per cell
space-group type	No. 127
V	35.09	A^3/atom

Quantum ESPRESSO input file:
```
&SYSTEM
  ibrav = 0, nat = 20, ntyp = 3
/
ATOMIC_SPECIES
Cs 132.91 Cs.upf
U 238.03 U.upf
Se 78.96 Se.upf
ATOMIC_POSITIONS crystal
Cs 0.0000 0.3165 0.8165
Cs 0.0000 0.6835 0.1835
Cs 0.0000 0.1835 0.3165
Cs 0.0000 0.8165 0.6835
Cs 0.0000 0.0000 0.0000
Cs 0.0000 0.5000 0.5000
U 0.0000 0.1155 0.6155
U 0.0000 0.8845 0.3845
U 0.0000 0.3845 0.1155
U 0.0000 0.6155 0.8845
Se 0.5000 0.2339 0.0700
Se 0.5000 0.7661 0.9300
Se 0.5000 0.9300 0.2339
Se 0.5000 0.0700 0.7661
Se 0.5000 0.2661 0.5700
Se 0.5000 0.7339 0.4300
Se 0.5000 0.5700 0.7339
Se 0.5000 0.4300 0.2661
Se 0.5000 0.0000 0.5000
Se 0.5000 0.5000 0.0000
CELL_PARAMETERS angstrom
3.8403 0.0000 0.0000
0.0000 13.5175 0.0000
0.0000 0.0000 13.5175
```

First-principles (PBE-GGA) data for Li4TlPd2 after structural relaxation, as listed in Alexandria via LeMat-Bulk. Values from VASP.

Computed properties:
excess energy over the best structure of this formula in the dataset	0.482	eV/atom
DFT total energy	-19.40	eV per cell
size of the total moment	0.00	μB per cell
space-group type	No. 139
V	21.19	A^3/atom
DFT formation energy	144	meV per atom

Quantum ESPRESSO input file:
```
&SYSTEM
  ibrav = 0, nat = 7, ntyp = 3
/
ATOMIC_SPECIES
Tl 204.38 Tl.upf
Pd 106.42 Pd.upf
Li 6.94 Li.upf
ATOMIC_POSITIONS crystal
Tl 0.0000 0.0000 0.0000
Pd 0.3985 0.3985 0.2031
Pd 0.6015 0.6015 0.7969
Li 0.2081 0.2081 0.5838
Li 0.7919 0.7919 0.4162
Li 0.0000 0.5000 0.0000
Li 0.5000 0.0000 0.0000
CELL_PARAMETERS angstrom
4.7334 0.0000 0.0000
0.0000 4.7334 0.0000
2.3667 2.3667 6.6202
```